Material: SrSm4Hg5
Method: DFT, GGA-PBE
State: optimized geometry

Computed properties:
Calculated density: 10.0 g/cm³
D(E_F): 10.5 states/eV/cell
V: 28.180 Å³/atom
Spin magnetization: 1.2 μB per cell
Formation energy from the elements: -4.85 eV/f.u.

Lattice parameters (Å, degrees): 3.8310 3.8310 19.2005 90.00 90.00 90.00
With the nearest neighbours (Å) after each atom.
Space group P4/mmm (No. 123)
Unique sites:
Sr: 0.0000 0.0000 0.0000  8 Hg 3.48, 4 Sr 3.83
Sm: 0.0000 0.0000 0.2070  8 Hg 3.25-3.29
Sm: 0.0000 0.0000 0.4025  8 Hg 3.29-3.30
Hg: 0.5000 0.5000 0.1136  4 Sm 3.25, 4 Sr 3.48
Hg: 0.5000 0.5000 0.3047  8 Sm 3.29-3.30, 1 Hg 3.67
Hg: 0.5000 0.5000 0.5000  8 Sm 3.29